{"formula": "La2Hf3Zn2", "functional": "GGA-PBE", "state": "optimized geometry", "lattice": [[3.4180, 6.5530, 3.2053], [3.0700, 2.9776, 6.8269], [6.7963, 2.7338, 3.3519]], "species": ["Hf", "Hf", "Hf", "La", "La", "Zn", "Zn"], "frac_coords": [[0.3391, 0.3391, 0.3391], [0.6109, 0.6109, 0.6109], [0.9374, 0.9374, 0.9374], [0.1962, 0.1962, 0.1962], [0.7591, 0.7591, 0.7591], [0.0558, 0.0558, 0.0558], [0.4765, 0.4765, 0.4765]], "delta_e_f_ev_per_fu": -0.4}

{"formula": "LiHf5", "functional": "GGA-PBE", "state": "optimized geometry", "lattice": [[-0.1402, -3.1026, -4.4908], [3.9780, 3.6831, 0.6505], [2.8062, -3.4345, 2.2852]], "species": ["Hf", "Hf", "Hf", "Hf", "Hf", "Li"], "frac_coords": [[0.6700, 0.0000, 0.0000], [0.3300, 0.3300, 0.0000], [0.0000, 0.6700, 0.0000], [0.6667, 0.3333, 0.5000], [0.3333, 0.6667, 0.5000], [0.0000, 0.0000, 0.5000]], "relative_energy_kj_per_mol_atoms": 0.0}

{"formula": "LiHf2", "functional": "GGA-PBE", "state": "optimized geometry", "lattice": [[2.1279, 6.3656, 2.9481], [3.5324, 0.0655, 6.4232], [7.1205, 1.7252, 0.2498]], "species": ["Hf", "Hf", "Hf", "Hf", "Li", "Li"], "frac_coords": [[0.3750, 0.3750, 0.3750], [0.8750, 0.3750, 0.3750], [0.3750, 0.8750, 0.3750], [0.3750, 0.3750, 0.8750], [0.2500, 0.2500, 0.2500], [0.5000, 0.5000, 0.5000]], "relative_energy_kj_per_mol_atoms": 245.4}

{"formula": "LiHf2", "functional": "GGA-PBE", "state": "optimized geometry", "lattice": [[0.0000, 4.1124, 4.1124], [4.1124, 0.0000, 4.1124], [4.1124, 4.1124, 0.0000]], "species": ["Hf", "Hf", "Hf", "Hf", "Li", "Li"], "frac_coords": [[0.6250, 0.6250, 0.1250], [0.6250, 0.1250, 0.6250], [0.1250, 0.6250, 0.6250], [0.6250, 0.6250, 0.6250], [0.0000, 0.0000, 0.0000], [0.2500, 0.2500, 0.2500]], "relative_energy_kj_per_mol_atoms": 0.0}

no.,final energy (eV/atom)
1,-6.085
2,-8.449
3,-4.085
4,-6.628